# 1
! CaZr2Pt PBE optimized geometry; values from VASP
! - uncorrected energy (Ry per atom) = -0.468
! - crystal system = cubic
! - size of the total moment (μB/cell) = 2.6
! - E_form (eV per atom) = -0.083
&SYSTEM
  ibrav = 0, nat = 4, ntyp = 3
/
ATOMIC_SPECIES
Ca 40.08 Ca.upf
Zr 91.22 Zr.upf
Pt 195.08 Pt.upf
ATOMIC_POSITIONS angstrom
Ca 0.000 0.000 0.000
Zr 3.520 3.520 3.520
Zr 5.280 5.280 5.280
Pt 1.760 1.760 1.760
CELL_PARAMETERS angstrom
0.000 3.520 3.520
3.520 0.000 3.520
3.520 3.520 0.000

# 2
! V4Co2Rh5 PBE optimized geometry; values from VASP
! - uncorrected energy (Ry per atom) = -0.589
! - crystal system = monoclinic
! - size of the total moment (μB/cell) = 0.0
! - E_form (eV per atom) = -0.062
&SYSTEM
  ibrav = 0, nat = 11, ntyp = 3
/
ATOMIC_SPECIES
V 50.94 V.upf
Co 58.93 Co.upf
Rh 102.91 Rh.upf
ATOMIC_POSITIONS angstrom
V 1.205 0.000 1.508
V 5.776 0.000 0.218
V 10.787 0.000 6.106
V 15.359 0.000 4.816
Co -0.086 0.000 5.581
Co 16.649 0.000 0.743
Rh 1.809 0.000 3.942
Rh 3.665 0.000 1.898
Rh 8.282 0.000 3.162
Rh 12.899 0.000 4.426
Rh 14.754 0.000 2.382
CELL_PARAMETERS angstrom
8.828 -1.342 0.000
8.828 1.342 0.000
-1.093 0.000 6.324

# 3
! Sc3Sn5Te12 PBE optimized geometry; values from VASP
! - uncorrected energy (Ry per atom) = -0.311
! - crystal system = cubic
! - formation energy without anion corrections (meV/atom) = -390
! - size of the total moment (μB/cell) = 0.0
&SYSTEM
  ibrav = 0, nat = 80, ntyp = 3
/
ATOMIC_SPECIES
Sc 44.96 Sc.upf
Sn 118.71 Sn.upf
Te 127.60 Te.upf
ATOMIC_POSITIONS angstrom
Sc 4.426 2.213 0.000
Sc 8.853 4.426 -2.213
Sc 2.213 0.000 4.426
Sc 11.066 0.000 4.426
Sc 0.000 4.426 2.213
Sc 4.426 -2.213 8.853
Sc 4.426 11.066 0.000
Sc 8.853 4.426 6.639
Sc -2.213 8.853 4.426
Sc 6.639 8.853 4.426
Sc 0.000 4.426 11.066
Sc 4.426 6.639 8.853
Sn 0.000 0.000 0.000
Sn 4.426 4.426 -4.426
Sn 4.426 -4.426 4.426
Sn 8.853 0.000 0.000
Sn 13.279 2.213 0.000
Sn 8.853 -4.426 6.639
Sn 6.639 8.853 -4.426
Sn 6.639 0.000 4.426
Sn 4.426 6.639 0.000
Sn 8.853 4.426 2.213
Sn -4.426 4.426 4.426
Sn 0.000 8.853 0.000
Sn 0.000 0.000 8.853
Sn 4.426 4.426 4.426
Sn 0.000 4.426 6.639
Sn 4.426 2.213 8.853
Sn 2.213 8.853 4.426
Sn 2.213 0.000 13.279
Sn 0.000 13.279 2.213
Sn -4.426 6.639 8.853
Te 2.760 -0.257 1.260
Te 10.519 5.687 -4.683
Te 8.596 -1.260 2.760
Te 13.536 -1.667 3.166
Te 11.612 0.257 1.260
Te 10.519 -3.166 4.683
Te 1.260 2.760 -0.257
Te 12.019 4.170 -1.667
Te 5.687 4.683 -1.667
Te 7.592 2.760 0.257
Te -0.257 1.260 2.760
Te 4.683 -1.667 5.687
Te 8.596 7.592 -2.760
Te 4.683 1.667 3.166
Te 7.592 -2.760 8.596
Te 5.687 -4.683 10.519
Te 3.166 4.683 1.667
Te 10.113 6.093 0.257
Te 2.760 8.596 -1.260
Te 10.519 3.166 4.170
Te 4.683 10.519 -3.166
Te 8.596 1.260 6.093
Te 1.667 3.166 4.683
Te 2.760 0.257 7.592
Te 6.093 8.596 1.260
Te 7.186 5.687 4.170
Te 0.257 7.592 2.760
Te 4.170 -1.667 12.019
Te -1.667 5.687 4.683
Te 6.093 0.257 10.113
Te -1.260 2.760 8.596
Te 5.687 4.170 7.186
Te 3.166 13.536 -1.667
Te 1.260 11.612 0.257
Te 4.170 7.186 5.687
Te 0.257 1.260 11.612
Te 4.170 10.519 3.166
Te 9.109 7.592 6.093
Te 1.260 6.093 8.596
Te 3.166 4.170 10.519
Te -3.166 4.683 10.519
Te 7.592 6.093 9.109
Te -1.667 12.019 4.170
Te -2.760 8.596 7.592
Te -4.683 10.519 5.687
Te 0.257 10.113 6.093
Te -1.667 3.166 13.536
Te 6.093 9.109 7.592
CELL_PARAMETERS angstrom
-8.853 8.853 8.853
8.853 -8.853 8.853
8.853 8.853 -8.853

# 4
! Hf4NiAs PBE optimized geometry; values from VASP
! - uncorrected energy (Ry per atom) = -0.640
! - crystal system = monoclinic
! - size of the total moment (μB/cell) = 0.0
! - E_form (eV per atom) = -0.328
&SYSTEM
  ibrav = 0, nat = 12, ntyp = 3
/
ATOMIC_SPECIES
Hf 178.49 Hf.upf
Ni 58.69 Ni.upf
As 74.92 As.upf
ATOMIC_POSITIONS angstrom
Hf 0.035 3.854 3.904
Hf 0.119 0.807 3.523
Hf 3.199 3.854 3.019
Hf 1.795 -0.807 1.215
Hf 3.115 0.807 3.400
Hf 1.712 -3.854 1.597
Hf 4.792 -0.807 1.093
Hf 4.876 -3.854 0.711
Ni 3.294 1.880 1.154
Ni 1.617 -1.880 3.462
As 3.294 6.052 1.154
As 1.617 -6.052 3.462
CELL_PARAMETERS angstrom
4.132 -6.175 0.000
4.132 6.175 0.000
-3.353 0.000 4.616

# 5
! Rb2CdBIr PBE optimized geometry; values from VASP
! - uncorrected energy (Ry per atom) = -0.166
! - crystal system = tetragonal
! - size of the total moment (μB/cell) = 1.9
! - E_form (eV per atom) = 1.422
&SYSTEM
  ibrav = 0, nat = 5, ntyp = 4
/
ATOMIC_SPECIES
Rb 85.47 Rb.upf
Cd 112.41 Cd.upf
B 10.81 B.upf
Ir 192.22 Ir.upf
ATOMIC_POSITIONS angstrom
Rb 0.000 3.388 0.000
Rb 3.388 0.000 0.000
Cd 0.000 0.000 0.000
B 0.000 0.000 2.107
Ir 3.388 3.388 2.107
CELL_PARAMETERS angstrom
6.775 0.000 0.000
0.000 6.775 0.000
0.000 0.000 4.213

# 6
! NaPb6 PBE optimized geometry; values from VASP
! - uncorrected energy (Ry per atom) = -0.246
! - crystal system = tetragonal
! - size of the total moment (μB/cell) = 0.0
! - E_form (eV per atom) = 0.017
&SYSTEM
  ibrav = 0, nat = 7, ntyp = 2
/
ATOMIC_SPECIES
Na 22.99 Na.upf
Pb 207.20 Pb.upf
ATOMIC_POSITIONS angstrom
Na 0.000 0.000 0.000
Pb 0.000 0.000 3.640
Pb 0.000 2.818 1.881
Pb 0.000 2.818 5.399
Pb 2.818 0.000 1.881
Pb 2.818 0.000 5.399
Pb 2.818 2.818 0.000
CELL_PARAMETERS angstrom
5.636 0.000 0.000
0.000 5.636 0.000
0.000 0.000 7.280

# 7
! Cs2HfBOs PBE optimized geometry; values from VASP
! - uncorrected energy (Ry per atom) = -0.298
! - crystal system = tetragonal
! - size of the total moment (μB/cell) = 0.0
! - E_form (eV per atom) = 1.861
&SYSTEM
  ibrav = 0, nat = 5, ntyp = 4
/
ATOMIC_SPECIES
Cs 132.91 Cs.upf
Hf 178.49 Hf.upf
B 10.81 B.upf
Os 190.23 Os.upf
ATOMIC_POSITIONS angstrom
Cs 0.000 3.273 0.000
Cs 3.273 0.000 0.000
Hf 0.000 0.000 1.977
B 3.273 3.273 1.977
Os 3.273 3.273 0.000
CELL_PARAMETERS angstrom
6.545 0.000 0.000
0.000 6.545 0.000
0.000 0.000 3.955

# 8
! YTaAg PBE optimized geometry; values from VASP
! - uncorrected energy (Ry per atom) = -0.416
! - crystal system = cubic
! - size of the total moment (μB/cell) = 2.6
! - E_form (eV per atom) = 1.395
&SYSTEM
  ibrav = 0, nat = 3, ntyp = 3
/
ATOMIC_SPECIES
Y 88.91 Y.upf
Ta 180.95 Ta.upf
Ag 107.87 Ag.upf
ATOMIC_POSITIONS angstrom
Y 0.000 0.000 0.000
Ta 5.132 5.132 5.132
Ag 1.711 1.711 1.711
CELL_PARAMETERS angstrom
0.000 3.421 3.421
3.421 0.000 3.421
3.421 3.421 0.000